# SmTePt4

An optimized crystal structure of SmTePt4 (PBE, the Alexandria database).

## Properties
The formation energy without anion corrections comes out at -0.59 eV/atom.

The structure in CIF format:
```
data_SmTePt4
_cell_length_a 7.739
_cell_length_b 7.739
_cell_length_c 7.739
_cell_angle_alpha 90.00
_cell_angle_beta 90.00
_cell_angle_gamma 90.00
_symmetry_space_group_name_H-M 'F -4 3 m'
_symmetry_Int_Tables_number 216
_symmetry_space_group_name_Hall 'F -4 2 3'
loop_
_atom_site_label
_atom_site_type_symbol
_atom_site_fract_x
_atom_site_fract_y
_atom_site_fract_z
Sm1 Sm 0.000 0.000 0.000
Te1 Te 0.250 0.250 0.250
Pt1 Pt 0.125 0.125 0.625
```